A relaxed structure of Pu3Al7Pt4, computed with GGA-PBE.

Properties
Calculated volume in Å³ per atom: 18.64
Energy relative to the elements in eV per atom: -0.798
Density in Mg/m³: 10.82

Cell and atoms, written as CIF:
```
data_Pu3Al7Pt4
_cell_length_a 15.6045
_cell_length_b 4.2732
_cell_length_c 9.4494
_cell_angle_alpha 90.00
_cell_angle_beta 124.07
_cell_angle_gamma 90.00
_symmetry_space_group_name_H-M 'C 1 2/m 1'
_symmetry_Int_Tables_number 12
loop_
_symmetry_equiv_pos_as_xyz
'x,y,z'
'-x,-y,-z'
'-x,y,-z'
'x,-y,z'
'x+1/2,y+1/2,z'
'-x+1/2,-y+1/2,-z'
'-x+1/2,y+1/2,-z'
'x+1/2,-y+1/2,z'
loop_
_atom_site_label
_atom_site_type_symbol
_atom_site_fract_x
_atom_site_fract_y
_atom_site_fract_z
Pu1 Pu 0.0000 0.0000 0.0000
Pu2 Pu 0.1881 0.5000 0.6914
Al1 Al 0.0000 0.0000 0.5000
Al2 Al 0.0048 0.5000 0.2982
Al3 Al 0.1579 0.0000 0.4296
Al4 Al 0.1818 0.5000 0.0273
Pt1 Pt 0.1179 0.0000 0.8441
Pt2 Pt 0.1589 0.5000 0.2791
```